Record 1
Here is a relaxed La4AlTe2I crystal from the Alexandria database. Energies are from PBE-GGA.

Geometry as extended XYZ:
```
8
Lattice="7.969 0.000 0.000 0.000 4.501 0.000 -2.542 0.000 7.571" Properties=species:S:1:pos:R:3 pbc="T T T"
La 1.334 0.000 1.786
La 0.045 2.250 5.808
La 5.382 2.250 1.763
La 4.093 0.000 5.786
Al 0.000 2.250 0.000
Te 3.984 0.000 0.000
Te 2.713 2.250 3.786
I -1.271 0.000 3.786
```

Its space-group type is No. 10. The value obtained for the total energy is -5.03 eV per atom. For the raw formation energy, the calculation gives -1.12 eV/atom.

***

Record 2
Here is a relaxed LaRh3Pb crystal from the Alexandria database. Energies are from PBE-GGA.

Geometry as extended XYZ:
```
10
Lattice="3.539 -7.784 0.000 3.539 7.784 0.000 0.000 0.000 4.941" Properties=species:S:1:pos:R:3 pbc="T T T"
La 3.539 6.070 3.705
La 3.539 -6.070 1.235
Rh 1.328 0.868 3.705
Rh 1.328 -0.868 1.235
Rh 3.539 0.000 0.000
Rh 3.539 0.000 2.470
Rh 5.750 0.868 3.705
Rh 5.750 -0.868 1.235
Pb 3.539 2.525 3.705
Pb 3.539 -2.525 1.235
```

Its space-group type is No. 63. The value obtained for the total energy is -6.17 eV per atom. The calculation puts the formation enthalpy at 0 K at -0.74 kcal/mol of atoms.